Here is a relaxed ZrAs2Au crystal from Alexandria. Energies are from GGA-PBE.

```
data_ZrAs2Au
_symmetry_space_group_name_H-M 'P 1'
_symmetry_Int_Tables_number 1
_symmetry_space_group_name_Hall 'P 1'
_cell_length_a 5.824
_cell_length_b 5.824
_cell_length_c 5.824
_cell_angle_alpha 141.41
_cell_angle_beta 141.08
_cell_angle_gamma 55.96
loop_
_atom_site_label
_atom_site_fract_x
_atom_site_fract_y
_atom_site_fract_z
As1 0.019 0.019 0.000
As2 0.268 0.768 0.500
Au1 0.485 0.485 0.000
Zr1 0.727 0.227 0.500
```

Results
The energy relative to the elements is -1.683 eV/f.u. As for the mass density: 9.47 g cm⁻³. The space group is No. 44.


Here is a relaxed SmHo2Mg crystal from Alexandria. Energies are from GGA-PBE.

```
data_SmHo2Mg
_symmetry_space_group_name_H-M 'P 1'
_symmetry_Int_Tables_number 1
_symmetry_space_group_name_Hall 'P 1'
_cell_length_a 3.607
_cell_length_b 3.607
_cell_length_c 9.160
_cell_angle_alpha 90.00
_cell_angle_beta 90.00
_cell_angle_gamma 90.00
loop_
_atom_site_label
_atom_site_fract_x
_atom_site_fract_y
_atom_site_fract_z
Ho1 0.000 0.000 0.770
Ho2 0.000 0.000 0.230
Mg1 0.500 0.500 0.000
Sm1 0.500 0.500 0.500
```

Results
The energy relative to the elements is -0.105 eV/f.u. The calculation puts the excess energy over the best structure of this formula in the dataset at 2 meV per atom. As for the mass density: 7.03 g cm⁻³. The space group is No. 123.


Here is a relaxed SrLiHo crystal from Alexandria. Energies are from GGA-PBE.

```
data_SrLiHo
_symmetry_space_group_name_H-M 'P 1'
_symmetry_Int_Tables_number 1
_symmetry_space_group_name_Hall 'P 1'
_cell_length_a 3.863
_cell_length_b 3.863
_cell_length_c 14.747
_cell_angle_alpha 105.24
_cell_angle_beta 105.24
_cell_angle_gamma 89.95
loop_
_atom_site_label
_atom_site_fract_x
_atom_site_fract_y
_atom_site_fract_z
Sr1 0.472 0.472 0.222
Sr2 0.528 0.528 0.778
Ho1 0.826 0.826 0.576
Ho2 0.174 0.174 0.424
Li1 0.794 0.794 0.044
Li2 0.206 0.206 0.956
```

Results
The energy relative to the elements is 0.269 eV/f.u. The calculation puts the excess energy over the best structure of this formula in the dataset at 0 meV per atom. As for the mass density: 4.22 g cm⁻³. The space group is No. 12.


Here is a relaxed LaDyTlNi crystal from Alexandria. Energies are from GGA-PBE.

```
data_LaDyTlNi
_symmetry_space_group_name_H-M 'P 1'
_symmetry_Int_Tables_number 1
_symmetry_space_group_name_Hall 'P 1'
_cell_length_a 5.257
_cell_length_b 5.257
_cell_length_c 5.257
_cell_angle_alpha 60.00
_cell_angle_beta 60.00
_cell_angle_gamma 60.00
loop_
_atom_site_label
_atom_site_fract_x
_atom_site_fract_y
_atom_site_fract_z
Dy1 0.250 0.250 0.250
Ni1 0.500 0.500 0.500
Tl1 0.000 0.000 0.000
La1 0.750 0.750 0.750
```

Results
The energy relative to the elements is -0.805 eV/f.u. As for the mass density: 9.12 g cm⁻³. The space group is No. 216.


Here is a relaxed La2PuO7 crystal from Alexandria. Energies are from GGA-PBE.

```
data_La2PuO7
_symmetry_space_group_name_H-M 'P 1'
_symmetry_Int_Tables_number 1
_symmetry_space_group_name_Hall 'P 1'
_cell_length_a 6.786
_cell_length_b 7.153
_cell_length_c 7.820
_cell_angle_alpha 72.03
_cell_angle_beta 64.28
_cell_angle_gamma 61.68
loop_
_atom_site_label
_atom_site_fract_x
_atom_site_fract_y
_atom_site_fract_z
La1 0.622 0.901 0.703
La2 0.774 0.401 0.203
La3 0.226 0.599 0.797
La4 0.378 0.099 0.297
O1 0.058 0.751 0.522
O2 0.942 0.249 0.478
O3 0.754 0.938 0.356
O4 0.048 0.562 0.144
O5 0.651 0.559 0.674
O6 0.479 0.750 0.250
O7 0.116 0.059 0.174
O8 0.884 0.941 0.826
O9 0.669 0.251 0.022
O10 0.331 0.749 0.978
O11 0.952 0.438 0.856
O12 0.246 0.062 0.644
O13 0.349 0.441 0.326
O14 0.521 0.250 0.750
Pu1 0.155 0.750 0.250
Pu2 0.845 0.250 0.750
```

Results
For the uncorrected formation energy, the calculation gives -2.65 eV per atom. As for the mass density: 7.05 g cm⁻³. The space group is No. 15.


Here is a relaxed NiAsPd2Pt crystal from Alexandria. Energies are from GGA-PBE.

```
data_NiAsPd2Pt
_symmetry_space_group_name_H-M 'P 1'
_symmetry_Int_Tables_number 1
_symmetry_space_group_name_Hall 'P 1'
_cell_length_a 4.629
_cell_length_b 4.191
_cell_length_c 4.629
_cell_angle_alpha 90.00
_cell_angle_beta 90.00
_cell_angle_gamma 90.00
loop_
_atom_site_label
_atom_site_fract_x
_atom_site_fract_y
_atom_site_fract_z
As1 0.000 0.500 0.000
Ni1 0.000 0.000 0.000
Pt1 0.500 0.500 0.500
Pd1 0.500 0.000 0.000
Pd2 0.000 0.000 0.500
```

Results
The energy relative to the elements is 3.303 eV/f.u. As for the mass density: 10.01 g cm⁻³. The space group is No. 123.


Computed volume (Å³/cell) in order:
76.82; 119.16; 204.33; 102.76; 298.54; 89.80
Computed total magnetization (μB per formula unit) in order:
0.00; 0.00; 0.00; 0.00; 0.00; 0.00